{"formula": "HoEr2AlN", "functional": "GGA-PBE", "state": "optimized geometry", "e_form_raw_ev_per_atom": -0.94, "dos_ef_per_ev_fu": 2.109, "lattice": [[-0.3609, -2.6904, 3.8895], [3.5327, -2.7169, -1.5515], [3.1080, 2.7789, 2.2106]], "species": ["Ho", "Er", "Er", "Al", "N"], "fractional_positions": [[0.5000, 0.0000, 0.0000], [0.0000, 0.0000, 0.5000], [0.0000, 0.5000, 0.0000], [0.5000, 0.5000, 0.5000], [0.0000, 0.0000, 0.0000]]}


{"formula": "CsPSe4", "functional": "GGA-PBE", "state": "optimized geometry", "e_form_raw_ev_per_atom": -0.22, "dos_ef_per_ev_fu": 2.604, "lattice": [[7.3317, -0.3059, 0.0653], [-0.2714, 5.7615, -0.2481], [-3.4823, -2.5564, 8.7049]], "species": ["Cs", "Cs", "P", "P", "Se", "Se", "Se", "Se", "Se", "Se", "Se", "Se"], "fractional_positions": [[0.7939, 0.7241, 0.9961], [0.2061, 0.2759, 0.0039], [0.5000, 0.0000, 0.5000], [0.0000, 0.5000, 0.5000], [0.4725, 0.0508, 0.7622], [0.7137, 0.3062, 0.2405], [0.5275, 0.9492, 0.2378], [0.2863, 0.6938, 0.7595], [0.8120, 0.8081, 0.6131], [0.1724, 0.6916, 0.3660], [0.1880, 0.1919, 0.3869], [0.8276, 0.3084, 0.6340]]}